1.
VASP calculation (PBE) on PmPrHoTm after structural relaxation.

For the distance to the lowest polymorph of the same formula, the calculation gives 0.000 eV/atom. The value obtained for the energy of formation is 104 meV per atom.

The space group is F-43m (No. 216) and the conventional cell measures 8.0931, 8.0931 and 8.0931 Å, with angles of 90.00, 90.00 and 90.00 degrees. The distinct sites, in fractional coordinates, are Pm at (0.0000, 0.0000, 0.0000), Pr at (0.0000, 0.0000, 0.5000), Ho at (0.2500, 0.2500, 0.7500) and Tm at (0.2500, 0.2500, 0.2500).

---

2.
VASP calculation (PBE) on LiHg5 after structural relaxation.

For the distance to the lowest polymorph of the same formula, the calculation gives 0.015 eV/atom. The value obtained for the energy of formation is -104 meV per atom.

The space group is I4/mcm (No. 140) and the conventional cell measures 6.9157, 6.9157 and 12.4692 Å, with angles of 90.00, 90.00 and 90.00 degrees. The distinct sites, in fractional coordinates, are Li at (0.0000, 0.0000, 0.2500), Hg at (0.0000, 0.0000, 0.0000) and Hg at (0.1580, 0.3420, 0.1377).

---

3.
VASP calculation (PBE) on EuMgCuIr after structural relaxation.

The value obtained for the energy of formation is -133 meV per atom.

The space group is F-43m (No. 216) and the conventional cell measures 6.7374, 6.7374 and 6.7374 Å, with angles of 90.00, 90.00 and 90.00 degrees. The distinct sites, in fractional coordinates, are Eu at (0.0000, 0.0000, 0.0000), Mg at (0.0000, 0.0000, 0.5000), Cu at (0.2500, 0.2500, 0.2500) and Ir at (0.2500, 0.2500, 0.7500).

---

4.
VASP calculation (PBE) on Zn7Te after structural relaxation.

The uncorrected formation energy is 14.9 kJ/mol of atoms.

The space group is Fm-3m (No. 225) and the conventional cell measures 8.2367, 8.2367 and 8.2367 Å, with angles of 90.00, 90.00 and 90.00 degrees. The distinct sites, in fractional coordinates, are Zn at (0.0000, 0.0000, 0.0000), Zn at (0.0000, 0.2500, 0.2500) and Te at (0.0000, 0.0000, 0.5000).

---

5.
VASP calculation (PBE) on Ce2In8Ru after structural relaxation.

The value obtained for the energy of formation is -334 meV per atom.

The space group is P4/mmm (No. 123) and the conventional cell measures 4.6987, 4.6987 and 12.3216 Å, with angles of 90.00, 90.00 and 90.00 degrees. The distinct sites, in fractional coordinates, are Ce at (0.0000, 0.0000, 0.1936), In at (0.0000, 0.5000, 0.0000), In at (0.0000, 0.5000, 0.3793), In at (0.5000, 0.5000, 0.1914) and Ru at (0.0000, 0.0000, 0.5000).

---

6.
VASP calculation (PBE) on CaFeP2Rh after structural relaxation.

The value obtained for the energy of formation is -868 meV per atom.

The space group is I-4m2 (No. 119) and the conventional cell measures 3.9359, 3.9359 and 9.7855 Å, with angles of 90.00, 90.00 and 90.00 degrees. The distinct sites, in fractional coordinates, are Ca at (0.0000, 0.0000, 0.0000), Fe at (0.0000, 0.5000, 0.2500), P at (0.0000, 0.0000, 0.3740) and Rh at (0.0000, 0.5000, 0.7500).

---

7.
VASP calculation (PBE) on Ba3Ga3Pt2 after structural relaxation.

The value obtained for the energy of formation is -615 meV per atom.

The space group is Pnma (No. 62) and the conventional cell measures 8.6465, 15.9355 and 6.3877 Å, with angles of 90.00, 90.00 and 90.00 degrees. The distinct sites, in fractional coordinates, are Ba at (0.0352, 0.1073, 0.1112), Ba at (0.1890, 0.2500, 0.5822), Ga at (0.1582, 0.0395, 0.6070), Ga at (0.1640, 0.7500, 0.5532) and Pt at (0.1291, 0.5953, 0.3745).

---

8.
VASP calculation (PBE) on NpAgHg2 after structural relaxation.

The value obtained for the energy of formation is 132 meV per atom.

The space group is P4/mmm (No. 123) and the conventional cell measures 3.1313, 3.1313 and 8.9797 Å, with angles of 90.00, 90.00 and 90.00 degrees. The distinct sites, in fractional coordinates, are Np at (0.0000, 0.0000, 0.0000), Ag at (0.0000, 0.0000, 0.5000) and Hg at (0.5000, 0.5000, 0.2707).

---

9.
VASP calculation (PBE) on YGa4Tc after structural relaxation.

The value obtained for the energy of formation is -128 meV per atom.

The space group is Immm (No. 71) and the conventional cell measures 4.6851, 5.9713 and 7.5973 Å, with angles of 90.00, 90.00 and 90.00 degrees. The distinct sites, in fractional coordinates, are Y at (0.0000, 0.0000, 0.0000), Ga at (0.0000, 0.2248, 0.3363) and Tc at (0.0000, 0.5000, 0.0000).

---

10.
VASP calculation (PBE) on Cs3Ca2PuO6 after structural relaxation.

The uncorrected formation energy is -221.6 kJ/mol of atoms.

The space group is C2/m (No. 12) and the conventional cell measures 6.2117, 10.7511 and 7.1473 Å, with angles of 90.00, 106.68 and 90.00 degrees. The distinct sites, in fractional coordinates, are Cs at (0.0000, 0.0000, 0.0000), Cs at (0.0000, 0.3304, 0.0000), Ca at (0.0000, 0.1663, 0.5000), Pu at (0.0000, 0.5000, 0.5000), O at (0.2055, 0.3503, 0.6657) and O at (0.2442, 0.5000, 0.3299).

---

11.
VASP calculation (PBE) on Mn2ZnCo after structural relaxation.

The value obtained for the energy of formation is 174 meV per atom.

The space group is R-3m (No. 166, hexagonal axes) and the conventional cell measures 2.5176, 2.5176 and 25.1416 Å, with angles of 90.00, 90.00 and 120.00 degrees. The distinct sites, in fractional coordinates, are Mn at (0.0000, 0.0000, 0.2453), Zn at (0.0000, 0.0000, 0.0000) and Co at (0.0000, 0.0000, 0.5000).

---

12.
VASP calculation (PBE) on Na2Tm5Hg12 after structural relaxation.

The value obtained for the energy of formation is -227 meV per atom.

The space group is C2/m (No. 12) and the conventional cell measures 14.1332, 9.9304 and 8.9608 Å, with angles of 90.00, 129.33 and 90.00 degrees. The distinct sites, in fractional coordinates, are Na at (0.0000, 0.2471, 0.0000), Tm at (0.0000, 0.5000, 0.5000), Tm at (0.2198, 0.0000, 0.3630), Tm at (0.2325, 0.0000, 0.7847), Hg at (0.0403, 0.5000, 0.2047), Hg at (0.0555, 0.0000, 0.8729), Hg at (0.1178, 0.2256, 0.4607) and Hg at (0.1946, 0.3350, 0.8400).

---

Values for raw total energy, eV per atom, ordered as above
-4.5412 -0.6749 -6.3397 -1.3531 -4.2479 -6.5950 -3.9816 -3.9671 -4.9506 -6.5166 -6.5053 -1.7331